(1)
A relaxed structure of TlPbBr, computed with PBE.

a b c (Å): 4.0990 5.2003 9.8103
angles (deg): 90.00 90.94 90.00
Space group Pm (No. 6)
Symmetry-distinct sites (fractional):
Tl1 0.0000 0.0000 0.0000
Tl2 0.0116 0.0000 0.6642
Pb1 0.0073 0.0000 0.3322
Pb2 0.5071 0.5000 0.3302
Br1 0.4986 0.5000 0.0190
Br2 0.5136 0.5000 0.6415

Energy above the lowest structure with this stoichiometry: 0.021 eV/atom
Raw formation energy: -396 meV per atom

***

(2)
A relaxed structure of TlPb2Br, computed with PBE.

a b c (Å): 4.6529 4.6529 24.7763
angles (deg): 90.00 90.00 90.00
Space group I-42d (No. 122)
Symmetry-distinct sites (fractional):
Tl1 0.0000 0.0000 0.0000
Pb1 0.2458 0.2500 0.1250
Br1 0.0000 0.0000 0.5000

Energy above the lowest structure with this stoichiometry: 0.086 eV/atom
Raw formation energy: -153 meV per atom

***

(3)
A relaxed structure of TlPbBr, computed with PBE.

a b c (Å): 3.7047 6.1921 8.6929
angles (deg): 98.13 90.01 90.00
Space group P1 (No. 1)
Symmetry-distinct sites (fractional):
Tl1 0.0000 0.0000 0.0000
Tl2 0.0001 0.3961 0.3608
Pb1 0.4999 0.7191 0.6859
Pb2 0.5001 0.8874 0.3354
Br1 0.4999 0.5266 0.0611
Br2 0.5015 0.2053 0.6503

Energy above the lowest structure with this stoichiometry: 0.072 eV/atom
Raw formation energy: -345 meV per atom

***

(4)
A relaxed structure of TlPb2Br, computed with PBE.

a b c (Å): 3.6158 5.6085 12.4604
angles (deg): 90.00 90.00 90.00
Space group Imm2 (No. 44)
Symmetry-distinct sites (fractional):
Tl1 0.0000 0.0000 0.0000
Pb1 0.0000 0.0000 0.4763
Pb2 0.0000 0.5000 0.7485
Br1 0.0000 0.5000 0.2409

Energy above the lowest structure with this stoichiometry: 0.055 eV/atom
Raw formation energy: -185 meV per atom

***

(5)
A relaxed structure of TlPb2Br, computed with PBE.

a b c (Å): 5.2266 5.2400 9.5092
angles (deg): 90.00 90.00 90.00
Space group Cmm2 (No. 35)
Symmetry-distinct sites (fractional):
Tl1 0.0000 0.0000 0.0000
Pb1 0.0000 0.0000 0.5259
Pb2 0.0000 0.5000 0.2932
Br1 0.0000 0.5000 0.8018

Energy above the lowest structure with this stoichiometry: 0.000 eV/atom
Raw formation energy: -239 meV per atom

***

(6)
A relaxed structure of TlPb2Br6, computed with PBE.

a b c (Å): 7.1583 7.1583 13.6695
angles (deg): 90.00 90.00 90.00
Space group P4_2/mnm (No. 136)
Symmetry-distinct sites (fractional):
Tl1 0.0000 0.0000 0.0000
Pb1 0.0000 0.0000 0.3334
Br1 0.2004 0.2004 0.1649
Br2 0.1997 0.1997 0.5000

Raw formation energy: -763 meV per atom

***

(7)
A relaxed structure of TlPbBr, computed with PBE.

a b c (Å): 3.7267 5.6007 10.2049
angles (deg): 74.09 82.31 89.90
Space group P1 (No. 1)
Symmetry-distinct sites (fractional):
Tl1 0.0000 0.0000 0.0000
Tl2 0.4121 0.3319 0.3359
Pb1 0.0794 0.6596 0.6791
Pb2 0.5232 0.5174 0.9654
Br1 0.7989 0.1831 0.6326
Br2 0.9177 0.8406 0.3188

Energy above the lowest structure with this stoichiometry: 0.034 eV/atom
Raw formation energy: -383 meV per atom

***

(8)
A relaxed structure of TlPbBr2, computed with PBE.

a b c (Å): 4.5635 4.5635 12.5218
angles (deg): 90.00 90.00 90.00
Space group I-4m2 (No. 119)
Symmetry-distinct sites (fractional):
Tl1 0.0000 0.0000 0.0000
Pb1 0.0000 0.5000 0.2500
Br1 0.0000 0.0000 0.5000
Br2 0.0000 0.5000 0.7500

Energy above the lowest structure with this stoichiometry: 0.170 eV/atom
Raw formation energy: -468 meV per atom